No. 1
## Pm3Sm4Tm (PBE-GGA)

Data for a relaxed structure of Pm3Sm4Tm.

Computed properties:
Space-group type ... Pmna
Calculated formation energy ... 15 meV/atom

```
Pm3Sm4Tm
1.0
10.212 0.000 0.000
0.000 7.242 0.000
0.000 0.000 7.237
Pm Sm Tm
6 8 2
Direct
0.000 0.000 0.000
0.250 0.252 0.250
0.250 0.748 0.750
0.500 0.000 0.500
0.750 0.252 0.250
0.750 0.748 0.750
0.000 0.000 0.500
0.000 0.500 0.000
0.250 0.252 0.750
0.250 0.748 0.250
0.500 0.000 0.000
0.500 0.500 0.500
0.750 0.252 0.750
0.750 0.748 0.250
0.000 0.500 0.500
0.500 0.500 0.000
```


No. 2
## Ca4NiAg2 (PBE-GGA)

Data for a relaxed structure of Ca4NiAg2.

Computed properties:
Space-group type ... I4/mmm
Calculated formation energy ... -81 meV/atom

```
Ca4NiAg2
1.0
-2.615 2.615 7.768
2.615 -2.615 7.768
2.615 2.615 -7.768
Ca Ni Ag
4 1 2
Direct
0.000 0.500 0.500
0.181 0.181 0.000
0.500 0.000 0.500
0.819 0.819 0.000
0.000 0.000 0.000
0.379 0.379 0.000
0.621 0.621 0.000
```


No. 3
## RbGa3Tc (PBE-GGA)

Data for a relaxed structure of RbGa3Tc.

Computed properties:
Space-group type ... Amm2
Calculated formation energy ... 401 meV/atom

```
RbGa3Tc
1.0
2.869 0.000 0.000
0.000 3.056 8.308
0.000 -3.056 8.308
Rb Ga Tc
1 3 1
Direct
0.000 0.000 0.000
0.000 0.001 0.409
0.000 0.409 0.001
0.500 0.805 0.805
0.500 0.637 0.637
```